Entry 1:
## Li2CeGd (GGA-PBE)

Data for an optimized crystal structure of Li2CeGd.

Cell: 3.5602 5.3914 5.3914 Å, 90.00 90.00 90.00°
Closest atoms and distances in Å follow each position.
Element x y z (fractional)
Li1 0.0000 0.5000 0.0000  4 Gd 3.23, 4 Ce 3.23, 2 Li 3.56
Li2 0.0000 0.0000 0.5000  4 Gd 3.23, 4 Ce 3.23, 2 Li 3.56
Ce1 0.5000 0.0000 0.0000  8 Li 3.23, 2 Ce 3.56
Gd1 0.5000 0.5000 0.5000  8 Li 3.23, 2 Gd 3.56

Output
The formation energy comes out at 0.243 eV per atom. As for the polymorph energy (0 for the lowest one): 0.0021 eV/atom. As for the space group: No. 123.

---

Entry 2:
## Li2CeGd (GGA-PBE)

Data for an optimized crystal structure of Li2CeGd.

Cell: 5.2801 5.2801 5.2834 Å, 60.02 60.02 60.00°
Closest atoms and distances in Å follow each position.
Element x y z (fractional)
Ce1 0.0000 0.0000 0.0000  8 Li 3.23
Gd1 0.5000 0.5000 0.5000  8 Li 3.23-3.24
Li1 0.7502 0.7502 0.7494  4 Gd 3.23-3.24, 4 Ce 3.23
Li2 0.2498 0.2498 0.2506  4 Gd 3.23-3.24, 4 Ce 3.23

Output
The formation energy comes out at 0.241 eV per atom. As for the polymorph energy (0 for the lowest one): 0.0000 eV/atom. As for the space group: No. 225.

---

Entry 3:
## LiCeGd (GGA-PBE)

Data for an optimized crystal structure of LiCeGd.

Cell: 3.4805 3.4805 7.2656 Å, 103.86 103.86 90.00°
Closest atoms and distances in Å follow each position.
Element x y z (fractional)
Gd1 0.6596 0.6596 0.3192  4 Li 3.28, 4 Gd 3.48, 4 Ce 3.48
Li1 0.0005 0.0005 0.0011  4 Gd 3.28, 4 Ce 3.30, 4 Li 3.48
Ce1 0.3399 0.3399 0.6798  4 Li 3.30, 4 Ce 3.48, 4 Gd 3.48

Output
The formation energy comes out at 0.171 eV per atom. As for the polymorph energy (0 for the lowest one): 0.0055 eV/atom. As for the space group: No. 107.

---

Entry 4:
## LiCeGd (GGA-PBE)

Data for an optimized crystal structure of LiCeGd.

Cell: 3.4015 3.4015 8.4270 Å, 90.00 90.00 120.00°
Closest atoms and distances in Å follow each position.
Element x y z (fractional)
Gd1 0.6667 0.3333 0.3356  6 Gd 3.40, 3 Li 3.41, 3 Ce 3.45
Ce1 0.0000 0.0000 0.9985  6 Ce 3.40, 3 Li 3.42, 3 Gd 3.45
Li1 0.3333 0.6667 0.6660  6 Li 3.40, 3 Gd 3.41, 3 Ce 3.42

Output
The formation energy comes out at 0.165 eV per atom. As for the polymorph energy (0 for the lowest one): 0.0000 eV/atom. As for the space group: No. 156.

---

Entry 5:
## LiCeGd2 (GGA-PBE)

Data for an optimized crystal structure of LiCeGd2.

Cell: 4.0907 4.0907 10.1525 Å, 78.38 78.38 60.00°
Closest atoms and distances in Å follow each position.
Element x y z (fractional)
Gd1 0.1118 0.1118 0.6647  3 Ce 2.87
Gd2 0.8882 0.8882 0.3353  3 Ce 2.87
Li1 0.0000 0.0000 0.0000  2 Gd 3.31
Ce1 0.5000 0.5000 0.5000  6 Gd 2.87

Output
The formation energy comes out at 0.859 eV per atom. As for the polymorph energy (0 for the lowest one): 0.7629 eV/atom. As for the space group: No. 166.

---

Entry 6:
## LiCe2Gd (GGA-PBE)

Data for an optimized crystal structure of LiCe2Gd.

Cell: 3.2791 3.2791 10.3127 Å, 90.00 90.00 90.00°
Closest atoms and distances in Å follow each position.
Element x y z (fractional)
Ce1 0.0000 0.0000 0.7584  4 Ce 3.28, 4 Li 3.40, 4 Gd 3.53
Ce2 0.0000 0.0000 0.2416  4 Ce 3.28, 4 Li 3.40, 4 Gd 3.53
Gd1 0.5000 0.5000 0.5000  4 Gd 3.28, 8 Ce 3.53
Li1 0.5000 0.5000 0.0000  4 Li 3.28, 8 Ce 3.40

Output
The formation energy comes out at 0.206 eV per atom. As for the polymorph energy (0 for the lowest one): 0.0000 eV/atom. As for the space group: No. 123.

---

Entry 7:
## LiCeGd2 (GGA-PBE)

Data for an optimized crystal structure of LiCeGd2.

Cell: 3.5675 3.5675 8.8496 Å, 90.00 90.00 90.00°
Closest atoms and distances in Å follow each position.
Element x y z (fractional)
Gd1 0.0000 0.0000 0.7632  4 Li 3.28, 4 Ce 3.43, 4 Gd 3.57
Gd2 0.0000 0.0000 0.2368  4 Li 3.28, 4 Ce 3.43, 4 Gd 3.57
Ce1 0.5000 0.5000 0.5000  8 Gd 3.43, 4 Ce 3.57
Li1 0.5000 0.5000 0.0000  8 Gd 3.28, 4 Li 3.57

Output
The formation energy comes out at 0.096 eV per atom. As for the polymorph energy (0 for the lowest one): 0.0000 eV/atom. As for the space group: No. 123.

---

Entry 8:
## LiCeGd2 (GGA-PBE)

Data for an optimized crystal structure of LiCeGd2.

Cell: 3.5891 5.6641 5.6641 Å, 90.00 90.00 90.00°
Closest atoms and distances in Å follow each position.
Element x y z (fractional)
Ce1 0.5000 0.5000 0.5000  8 Gd 3.35, 2 Ce 3.59
Gd1 0.0000 0.5000 0.0000  4 Ce 3.35, 4 Li 3.35, 2 Gd 3.59
Gd2 0.0000 0.0000 0.5000  4 Ce 3.35, 4 Li 3.35, 2 Gd 3.59
Li1 0.5000 0.0000 0.0000  8 Gd 3.35, 2 Li 3.59

Output
The formation energy comes out at 0.175 eV per atom. As for the polymorph energy (0 for the lowest one): 0.0795 eV/atom. As for the space group: No. 123.

---

Entry 9:
## LiCeGdPd (GGA-PBE)

Data for an optimized crystal structure of LiCeGdPd.

Cell: 5.1014 5.1014 5.1014 Å, 60.00 60.00 60.00°
Closest atoms and distances in Å follow each position.
Element x y z (fractional)
Gd1 0.2500 0.2500 0.2500  4 Li 3.12, 4 Pd 3.12
Pd1 0.5000 0.5000 0.5000  4 Gd 3.12, 4 Ce 3.12
Ce1 0.7500 0.7500 0.7500  4 Li 3.12, 4 Pd 3.12
Li1 0.0000 0.0000 0.0000  4 Gd 3.12, 4 Ce 3.12

Output
The formation energy comes out at -0.256 eV per atom. As for the space group: No. 216.

---

Entry 10:
## LiCeGdRu (GGA-PBE)

Data for an optimized crystal structure of LiCeGdRu.

Cell: 4.9673 4.9673 4.9673 Å, 60.00 60.00 60.00°
Closest atoms and distances in Å follow each position.
Element x y z (fractional)
Ce1 0.7500 0.7500 0.7500  4 Ru 3.04, 4 Li 3.04
Ru1 0.5000 0.5000 0.5000  4 Ce 3.04, 4 Gd 3.04
Gd1 0.2500 0.2500 0.2500  4 Li 3.04, 4 Ru 3.04
Li1 0.0000 0.0000 0.0000  4 Gd 3.04, 4 Ce 3.04

Output
The formation energy comes out at -0.146 eV per atom. As for the space group: No. 216.

---

Entry 11:
## LiCeSmGd (GGA-PBE)

Data for an optimized crystal structure of LiCeSmGd.

Cell: 5.4433 5.4433 5.4433 Å, 60.00 60.00 60.00°
Closest atoms and distances in Å follow each position.
Element x y z (fractional)
Sm1 0.2500 0.2500 0.2500  4 Ce 3.33, 4 Li 3.33
Gd1 0.7500 0.7500 0.7500  4 Ce 3.33, 4 Li 3.33
Li1 0.0000 0.0000 0.0000  4 Gd 3.33, 4 Sm 3.33
Ce1 0.5000 0.5000 0.5000  4 Sm 3.33, 4 Gd 3.33

Output
The formation energy comes out at 0.260 eV per atom. As for the space group: No. 216.

---

Entry 12:
## LiCeGdSn (GGA-PBE)

Data for an optimized crystal structure of LiCeGdSn.

Cell: 5.3245 5.3245 5.3245 Å, 60.00 60.00 60.00°
Closest atoms and distances in Å follow each position.
Element x y z (fractional)
Ce1 0.5000 0.5000 0.5000  4 Li 3.26, 4 Sn 3.26
Gd1 0.0000 0.0000 0.0000  4 Sn 3.26, 4 Li 3.26
Sn1 0.7500 0.7500 0.7500  4 Ce 3.26, 4 Gd 3.26
Li1 0.2500 0.2500 0.2500  4 Gd 3.26, 4 Ce 3.26

Output
The formation energy comes out at -0.320 eV per atom. As for the space group: No. 216.